DFT (GGA-PBE) results for crystalline NiRuAu at its relaxed geometry.

## Properties
Crystal system: tetragonal
Energy relative to the elements, eV/atom: 0.24
Density of states at the Fermi level, states/eV/atom: 1.3370
Excess energy over the best structure of this formula in the dataset, meV/atom: 115
SG: I4mm (107)

Cell lengths 6.0883, 6.0886, 2.7298 Å; angles 77.04, 77.05, 25.91 degrees
Closest atoms and distances in Å follow each position.
Sites, in units of the cell vectors:
Au  0.0052  0.0052  0.9948  4 Au 2.73, 4 Ni 2.76-2.77, 4 Ru 2.90
Ni  0.6766  0.6766  0.3234  4 Ru 2.53, 4 Ni 2.73, 4 Au 2.76-2.77
Ru  0.3182  0.3182  0.6818  4 Ni 2.53, 4 Ru 2.73